Record 1
ScOs | PBE | relaxed

```
ScOs
1.0
7.923 0.000 0.000
-3.961 6.861 0.000
0.000 0.000 4.388
Sc Os
6 6
direct
0.180 0.359 0.250 Sc
0.180 0.820 0.250 Sc
0.359 0.180 0.750 Sc
0.641 0.820 0.250 Sc
0.820 0.180 0.750 Sc
0.820 0.641 0.750 Sc
0.114 0.557 0.750 Os
0.443 0.557 0.750 Os
0.443 0.886 0.750 Os
0.557 0.114 0.250 Os
0.557 0.443 0.250 Os
0.886 0.443 0.250 Os
```

Values from the calculation:
Calculated total energy, eV/f.u.: -17.94
N(E_F), states/eV per atom: 0.800
Crystal system: hexagonal
Space-group type: P6_3/mmc (194)
Total magnetization, Bohr magnetons per cell: 0.00



Record 2
SiMo3Pb | PBE | relaxed

```
SiMo3Pb
1.0
4.992 0.000 0.000
0.000 4.992 0.000
0.000 0.000 4.992
Si Mo Pb
1 3 1
direct
0.000 0.000 0.000 Si
0.000 0.500 0.500 Mo
0.500 0.000 0.500 Mo
0.500 0.500 0.000 Mo
0.500 0.500 0.500 Pb
```

Values from the calculation:
Calculated total energy, eV/f.u.: -27.75
N(E_F), states/eV per atom: 1.731
Crystal system: cubic
Space-group type: Pm-3m (221)
Uncorrected formation energy, eV per atom: 2.775
Total magnetization, Bohr magnetons per cell: 0.93



Record 3
YCu2I6 | PBE | relaxed

```
YCu2I6
1.0
8.225 -6.436 0.000
8.225 6.436 0.000
-1.052 0.000 7.304
Y Cu I
2 4 12
direct
0.094 0.906 0.750 Y
0.906 0.094 0.250 Y
0.308 0.461 0.700 Cu
0.461 0.308 0.200 Cu
0.539 0.692 0.800 Cu
0.692 0.539 0.300 Cu
0.033 0.184 0.616 I
0.135 0.628 0.869 I
0.184 0.033 0.116 I
0.282 0.469 0.358 I
0.372 0.865 0.631 I
0.469 0.282 0.858 I
0.531 0.718 0.142 I
0.628 0.135 0.369 I
0.718 0.531 0.642 I
0.816 0.967 0.884 I
0.865 0.372 0.131 I
0.967 0.816 0.384 I
```

Values from the calculation:
Calculated total energy, eV/f.u.: -29.87
N(E_F), states/eV per atom: 0.783
Crystal system: monoclinic
Space-group type: C2/c (15)
Uncorrected formation energy, eV per atom: -0.657
Total magnetization, Bohr magnetons per cell: 0.00



Record 4
TaSbW2 | PBE | relaxed

```
TaSbW2
1.0
-1.689 2.252 4.610
1.689 -2.252 4.610
1.689 2.252 -4.610
Ta Sb W
1 1 2
direct
0.000 0.000 0.000 Ta
0.739 0.239 0.500 Sb
0.247 0.747 0.500 W
0.487 0.487 0.000 W
```

Values from the calculation:
Calculated total energy, eV/f.u.: -40.70
N(E_F), states/eV per atom: 0.839
Crystal system: orthorhombic
Space-group type: Imm2 (44)
Uncorrected formation energy, eV per atom: 0.295
Total magnetization, Bohr magnetons per cell: 0.00



Record 5
Tl2TcHgN | PBE | relaxed

```
Tl2TcHgN
1.0
5.124 0.000 0.000
0.000 5.124 0.000
0.000 0.000 4.246
Tl Tc Hg N
2 1 1 1
direct
0.000 0.500 0.000 Tl
0.500 0.000 0.000 Tl
0.000 0.000 0.500 Tc
0.500 0.500 0.500 Hg
0.500 0.500 0.000 N
```

Values from the calculation:
Calculated total energy, eV/f.u.: -16.80
N(E_F), states/eV per atom: 0.948
Crystal system: tetragonal
Space-group type: P4/mmm (123)
Uncorrected formation energy, eV per atom: 1.384
Total magnetization, Bohr magnetons per cell: 2.74



Record 6
Ge2SeS | PBE | relaxed

```
Ge2SeS
1.0
2.322 1.341 6.487
-2.322 1.341 6.487
0.000 -2.682 6.487
Ge Se S
2 1 1
direct
0.116 0.116 0.116 Ge
0.884 0.884 0.884 Ge
0.500 0.500 0.500 Se
0.000 0.000 0.000 S
```

Values from the calculation:
Calculated total energy, eV/f.u.: -16.45
N(E_F), states/eV per atom: 0.271
Crystal system: trigonal
Space-group type: R-3m (166)
Uncorrected formation energy, eV per atom: 0.100
Total magnetization, Bohr magnetons per cell: 0.00



Record 7
KSc2Rh | PBE | relaxed

```
KSc2Rh
1.0
0.000 3.502 3.502
3.502 0.000 3.502
3.502 3.502 0.000
K Sc Rh
1 2 1
direct
0.000 0.000 0.000 K
0.250 0.250 0.250 Sc
0.750 0.750 0.750 Sc
0.500 0.500 0.500 Rh
```

Values from the calculation:
Calculated total energy, eV/f.u.: -20.24
N(E_F), states/eV per atom: 1.383
Crystal system: cubic
Space-group type: Fm-3m (225)
Total magnetization, Bohr magnetons per cell: 0.00



Record 8
NpTaPt6 | PBE | relaxed

```
NpTaPt6
1.0
4.072 0.000 0.000
0.000 4.072 0.000
0.000 0.000 8.230
Np Ta Pt
1 1 6
direct
0.000 0.000 0.000 Np
0.000 0.000 0.500 Ta
0.000 0.500 0.268 Pt
0.000 0.500 0.732 Pt
0.500 0.000 0.268 Pt
0.500 0.000 0.732 Pt
0.500 0.500 0.000 Pt
0.500 0.500 0.500 Pt
```

Values from the calculation:
Calculated total energy, eV/f.u.: -65.83
N(E_F), states/eV per atom: 1.203
Crystal system: tetragonal
Space-group type: P4/mmm (123)
Total magnetization, Bohr magnetons per cell: 3.98



Record 9
Ba6InAu3 | PBE | relaxed

```
Ba6InAu3
1.0
13.771 0.000 0.000
0.000 4.771 0.000
-4.512 0.000 13.480
Ba In Au
12 2 6
direct
0.024 0.250 0.387 Ba
0.109 0.250 0.946 Ba
0.225 0.750 0.267 Ba
0.298 0.750 0.755 Ba
0.375 0.250 0.534 Ba
0.424 0.750 0.092 Ba
0.576 0.250 0.908 Ba
0.625 0.750 0.466 Ba
0.702 0.250 0.245 Ba
0.775 0.250 0.733 Ba
0.891 0.750 0.054 Ba
0.976 0.750 0.613 Ba
0.446 0.250 0.297 In
0.554 0.750 0.703 In
0.056 0.250 0.163 Au
0.184 0.750 0.502 Au
0.341 0.250 0.921 Au
0.659 0.750 0.079 Au
0.816 0.250 0.498 Au
0.944 0.750 0.837 Au
```

Values from the calculation:
Calculated total energy, eV/f.u.: -29.23
N(E_F), states/eV per atom: 0.763
Crystal system: monoclinic
Space-group type: P2_1/m (11)
Total magnetization, Bohr magnetons per cell: 0.00



Record 10
WSe2N | PBE | relaxed

```
WSe2N
1.0
1.698 0.980 7.022
-1.698 0.980 7.022
0.000 -1.960 7.022
W Se N
1 2 1
direct
0.000 0.000 0.000 W
0.413 0.413 0.413 Se
0.587 0.587 0.587 Se
0.500 0.500 0.500 N
```

Values from the calculation:
Calculated total energy, eV/f.u.: -24.79
N(E_F), states/eV per atom: 0.809
Crystal system: trigonal
Space-group type: R-3m (166)
Uncorrected formation energy, eV per atom: 0.864
Total magnetization, Bohr magnetons per cell: 0.00



Record 11
Tb2Ga3Pd5 | PBE | relaxed

```
Tb2Ga3Pd5
1.0
2.104 -12.497 0.000
2.104 12.497 0.000
0.000 0.000 6.784
Tb Ga Pd
4 6 10
direct
0.026 0.974 0.500 Tb
0.324 0.676 0.454 Tb
0.676 0.324 0.954 Tb
0.974 0.026 0.000 Tb
0.127 0.873 0.272 Ga
0.283 0.717 0.904 Ga
0.457 0.543 0.309 Ga
0.543 0.457 0.809 Ga
0.717 0.283 0.404 Ga
0.873 0.127 0.772 Ga
0.097 0.903 0.875 Pd
0.196 0.804 0.633 Pd
0.227 0.773 0.206 Pd
0.382 0.618 0.044 Pd
0.442 0.558 0.684 Pd
0.558 0.442 0.184 Pd
0.618 0.382 0.544 Pd
0.773 0.227 0.706 Pd
0.804 0.196 0.133 Pd
0.903 0.097 0.375 Pd
```

Values from the calculation:
Calculated total energy, eV/f.u.: -52.50
N(E_F), states/eV per atom: 0.429
Crystal system: orthorhombic
Space-group type: Cmc2_1 (36)
Total magnetization, Bohr magnetons per cell: 0.00



Record 12
AlCr2As | PBE | relaxed

```
AlCr2As
1.0
2.726 -3.895 0.000
2.726 3.895 0.000
-1.009 0.000 2.584
Al Cr As
1 2 1
direct
0.000 0.000 0.000 Al
0.000 0.500 0.500 Cr
0.500 0.000 0.500 Cr
0.500 0.500 0.000 As
```

Values from the calculation:
Calculated total energy, eV/f.u.: -26.83
N(E_F), states/eV per atom: 0.993
Crystal system: monoclinic
Space-group type: C2/m (12)
Total magnetization, Bohr magnetons per cell: 2.29



Record 13
ScAl2Cd | PBE | relaxed

```
ScAl2Cd
1.0
3.307 0.000 0.000
0.000 3.307 0.000
0.000 0.000 7.128
Sc Al Cd
1 2 1
direct
0.000 0.000 0.000 Sc
0.000 0.000 0.459 Al
0.500 0.500 0.251 Al
0.500 0.500 0.705 Cd
```

Values from the calculation:
Calculated total energy, eV/f.u.: -15.30
N(E_F), states/eV per atom: 0.588
Crystal system: tetragonal
Space-group type: P4mm (99)
Total magnetization, Bohr magnetons per cell: 0.30



Record 14
Sm6GeAs5 | PBE | relaxed

```
Sm6GeAs5
1.0
3.655 -6.331 0.000
3.655 6.331 0.000
-2.438 0.000 6.874
Sm Ge As
6 1 5
direct
0.081 0.417 0.750 Sm
0.248 0.248 0.251 Sm
0.417 0.081 0.750 Sm
0.583 0.919 0.250 Sm
0.752 0.752 0.749 Sm
0.919 0.583 0.250 Sm
0.500 0.500 0.000 Ge
0.000 0.000 0.500 As
0.166 0.834 0.000 As
0.333 0.667 0.500 As
0.667 0.333 0.500 As
0.834 0.166 0.000 As
```

Values from the calculation:
Calculated total energy, eV/f.u.: -72.67
N(E_F), states/eV per atom: 0.429
Crystal system: monoclinic
Space-group type: C2/m (12)
Total magnetization, Bohr magnetons per cell: 0.00



Record 15
Cs2PdPbO4 | PBE | relaxed

```
Cs2PdPbO4
1.0
0.000 7.425 10.105
3.155 0.000 10.105
3.155 7.425 0.000
Cs Pd Pb O
4 2 2 8
direct
0.047 0.047 0.703 Cs
0.297 0.297 0.953 Cs
0.703 0.703 0.047 Cs
0.953 0.953 0.297 Cs
0.125 0.125 0.125 Pd
0.875 0.875 0.875 Pd
0.375 0.375 0.375 Pb
0.625 0.625 0.625 Pb
0.015 0.728 0.550 O
0.206 0.550 0.728 O
0.272 0.985 0.794 O
0.450 0.794 0.985 O
0.550 0.206 0.015 O
0.728 0.015 0.206 O
0.794 0.450 0.272 O
0.985 0.272 0.450 O
```

Values from the calculation:
Calculated total energy, eV/f.u.: -37.78
Crystal system: orthorhombic
Space-group type: Fddd (70)
Uncorrected formation energy, eV per atom: -0.917
Total magnetization, Bohr magnetons per cell: 0.00



Record 16
Ac4PmIn | PBE | relaxed

```
Ac4PmIn
1.0
-5.121 5.121 5.482
5.121 -5.121 5.482
5.121 5.121 -5.482
Ac Pm In
8 2 2
direct
0.188 0.503 0.685 Ac
0.253 0.068 0.815 Ac
0.253 0.438 0.185 Ac
0.307 0.000 0.307 Ac
0.693 0.000 0.693 Ac
0.750 0.557 0.807 Ac
0.750 0.943 0.193 Ac
0.818 0.503 0.315 Ac
0.742 0.242 0.500 Pm
0.992 0.992 0.000 Pm
0.252 0.752 0.500 In
0.502 0.502 0.000 In
```

Values from the calculation:
Calculated total energy, eV/f.u.: -21.55
N(E_F), states/eV per atom: 1.007
Crystal system: tetragonal
Space-group type: I4_1md (109)
Total magnetization, Bohr magnetons per cell: 0.00



Record 17
NbSn3O | PBE | relaxed

```
NbSn3O
1.0
5.345 0.000 0.000
0.000 5.345 0.000
0.000 0.000 5.345
Nb Sn O
1 3 1
direct
0.000 0.000 0.000 Nb
0.000 0.000 0.500 Sn
0.000 0.500 0.000 Sn
0.500 0.000 0.000 Sn
0.500 0.500 0.500 O
```

Values from the calculation:
Calculated total energy, eV/f.u.: -23.22
N(E_F), states/eV per atom: 2.524
Crystal system: cubic
Space-group type: Pm-3m (221)
Uncorrected formation energy, eV per atom: 0.763
Total magnetization, Bohr magnetons per cell: 0.00



Record 18
BaMn2Al | PBE | relaxed

```
BaMn2Al
1.0
3.342 0.000 0.000
0.000 3.342 0.000
0.000 0.000 7.874
Ba Mn Al
1 2 1
direct
0.000 0.000 0.000 Ba
0.500 0.500 0.332 Mn
0.500 0.500 0.668 Mn
0.000 0.000 0.500 Al
```

Values from the calculation:
Calculated total energy, eV/f.u.: -22.31
N(E_F), states/eV per atom: 1.041
Crystal system: tetragonal
Space-group type: P4/mmm (123)
Total magnetization, Bohr magnetons per cell: 7.18



Record 19
Ir4Pb3 | PBE | relaxed

```
Ir4Pb3
1.0
-1.588 1.588 14.668
1.588 -1.588 14.668
1.588 1.588 -14.668
Ir Pb
4 3
direct
0.075 0.075 0.000 Ir
0.379 0.379 0.000 Ir
0.621 0.621 0.000 Ir
0.925 0.925 0.000 Ir
0.192 0.192 0.000 Pb
0.500 0.500 0.000 Pb
0.808 0.808 0.000 Pb
```

Values from the calculation:
Calculated total energy, eV/f.u.: -43.29
N(E_F), states/eV per atom: 1.348
Crystal system: tetragonal
Space-group type: I4/mmm (139)
Total magnetization, Bohr magnetons per cell: 0.02



Record 20
Pm2Be4GaSi3 | PBE | relaxed

```
Pm2Be4GaSi3
1.0
3.989 0.000 0.000
0.000 3.989 0.000
0.000 0.000 9.644
Pm Be Ga Si
2 4 1 3
direct
0.000 0.500 0.246 Pm
0.500 0.000 0.754 Pm
0.000 0.000 0.000 Be
0.000 0.500 0.635 Be
0.500 0.000 0.365 Be
0.500 0.500 0.000 Be
0.000 0.000 0.500 Ga
0.000 0.500 0.872 Si
0.500 0.000 0.128 Si
0.500 0.500 0.500 Si
```

Values from the calculation:
Calculated total energy, eV/f.u.: -47.59
N(E_F), states/eV per atom: 0.243
Crystal system: tetragonal
Space-group type: P-4m2 (115)
Uncorrected formation energy, eV per atom: -0.389
Total magnetization, Bohr magnetons per cell: 0.00



Record 21
SmAgO2 | PBE | relaxed

```
SmAgO2
1.0
1.831 1.057 6.270
-1.831 1.057 6.270
0.000 -2.114 6.270
Sm Ag O
1 1 2
direct
0.000 0.000 0.000 Sm
0.500 0.500 0.500 Ag
0.389 0.389 0.389 O
0.611 0.611 0.611 O
```

Values from the calculation:
Calculated total energy, eV/f.u.: -26.23
N(E_F), states/eV per atom: 0.000
Crystal system: trigonal
Space-group type: R-3m (166)
Uncorrected formation energy, eV per atom: -2.186
Total magnetization, Bohr magnetons per cell: 0.00



Record 22
Mn3Se4S2 | PBE | relaxed

```
Mn3Se4S2
1.0
3.201 0.000 0.000
-1.601 2.773 0.000
0.000 0.000 20.394
Mn Se S
3 4 2
direct
0.000 0.000 0.000 Mn
0.333 0.667 0.319 Mn
0.333 0.667 0.681 Mn
0.000 0.000 0.244 Se
0.000 0.000 0.395 Se
0.000 0.000 0.605 Se
0.000 0.000 0.756 Se
0.333 0.667 0.068 S
0.333 0.667 0.932 S
```

Values from the calculation:
Calculated total energy, eV/f.u.: -52.95
N(E_F), states/eV per atom: 0.721
Crystal system: hexagonal
Space-group type: P-6m2 (187)
Uncorrected formation energy, eV per atom: -0.361
Total magnetization, Bohr magnetons per cell: 0.74



Record 23
Cr2SnTe4 | PBE | relaxed

```
Cr2SnTe4
1.0
0.000 5.970 5.981
5.961 0.000 5.981
5.961 5.970 0.000
Cr Sn Te
4 2 8
direct
0.000 0.000 0.000 Cr
0.000 0.000 0.500 Cr
0.000 0.500 0.000 Cr
0.500 0.000 0.000 Cr
0.375 0.375 0.375 Sn
0.625 0.625 0.625 Sn
0.193 0.768 0.769 Te
0.230 0.231 0.232 Te
0.231 0.230 0.807 Te
0.232 0.807 0.230 Te
0.768 0.193 0.770 Te
0.769 0.770 0.193 Te
0.770 0.769 0.768 Te
0.807 0.232 0.231 Te
```

Values from the calculation:
Calculated total energy, eV/f.u.: -36.99
N(E_F), states/eV per atom: 0.430
Crystal system: orthorhombic
Space-group type: Fddd (70)
Uncorrected formation energy, eV per atom: -0.168
Total magnetization, Bohr magnetons per cell: 12.09